[1]
This record from Alexandria describes an optimized crystal structure of CsBiF4. The functional is GGA-PBE.

Unit cell a=6.528 b=6.689 c=8.860 alpha=112.18 beta=121.66 gamma=90.00
Element x y z (fractional)
Bi: 0.667 0.451 0.901
Cs: 0.059 0.168 0.335
F: 0.000 0.270 0.000
F: 0.644 0.402 0.224
F: 0.644 0.821 0.224
F: 0.356 0.598 0.776
F: 0.366 0.684 0.368
Cs: 0.941 0.832 0.665
Bi: 0.333 0.549 0.099
F: 0.634 0.316 0.632
F: 0.000 0.730 0.000
F: 0.356 0.179 0.776

Summary:
total magnetization: 0.0 μB per formula unit
formation energy from raw total energies: -2.535 eV/atom
crystal system: monoclinic
symmetry: C2/m, No. 12
electronic total energy: -54.9 eV/cell

[2]
This record from Alexandria describes an optimized crystal structure of Cs6BiF2. The functional is GGA-PBE.

Unit cell a=6.440 b=10.314 c=9.323 alpha=78.48 beta=69.80 gamma=71.81
Element x y z (fractional)
F: 0.797 0.349 0.057
Cs: 0.273 0.372 0.082
F: 0.203 0.651 0.943
Cs: 0.346 0.698 0.610
Cs: 0.002 0.192 0.804
Cs: 0.727 0.628 0.918
Cs: 0.654 0.302 0.390
Bi: 0.000 0.500 0.500
Cs: 0.998 0.808 0.196

Summary:
total magnetization: 0.4 μB per formula unit
formation energy from raw total energies: -1.287 eV/atom
crystal system: monoclinic
symmetry: C2/m, No. 12
electronic total energy: -24.3 eV/cell

[3]
This record from Alexandria describes an optimized crystal structure of CsBiF4. The functional is GGA-PBE.

Unit cell a=4.620 b=9.496 c=6.994 alpha=90.00 beta=90.00 gamma=104.08
Element x y z (fractional)
F: 0.408 0.816 0.250
F: 0.828 0.656 0.034
F: 0.172 0.344 0.966
F: 0.828 0.656 0.466
Bi: 0.085 0.170 0.750
Bi: 0.915 0.830 0.250
F: 0.172 0.344 0.534
Cs: 0.319 0.638 0.750
Cs: 0.681 0.362 0.250
F: 0.000 0.000 0.000
F: 0.592 0.184 0.750
F: 0.000 0.000 0.500

Summary:
total magnetization: 0.0 μB per formula unit
formation energy from raw total energies: -2.616 eV/atom
crystal system: orthorhombic
symmetry: Cmcm, No. 63
electronic total energy: -55.8 eV/cell

[4]
This record from Alexandria describes an optimized crystal structure of CsBiF3. The functional is GGA-PBE.

Unit cell a=4.880 b=4.880 c=4.880 alpha=90.00 beta=90.00 gamma=90.00
Element x y z (fractional)
F: 0.500 0.000 0.000
Bi: 0.000 0.000 0.000
F: 0.000 0.500 0.000
Cs: 0.500 0.500 0.500
F: 0.000 0.000 0.500

Summary:
total magnetization: 0.5 μB per formula unit
excess energy over the best structure of this formula in the dataset: 90 meV/atom
formation energy from raw total energies: -2.158 eV/atom
crystal system: cubic
symmetry: Pm-3m, No. 221
electronic total energy: -21.1 eV/cell